The following is a DFT calculation (GGA-PBE) of a geometry-optimized YErMg6 structure.

Results
Total DFT energy (no corrections)   -20.85 eV/f.u.
Energy above the lowest structure with this stoichiometry   0.003 eV per atom
M_tot   0.00 μB/atom

abc: 5.166 6.666 11.525
angles: 90.00 90.00 90.00
Space group Amm2 (No. 38)
Unique sites:
Y 0.000 0.000 0.000 x2
Er 0.500 0.000 0.667 x2
Mg 0.000 0.000 0.496 x2
Mg 0.000 0.245 0.252 x4
Mg 0.500 0.000 0.171 x2
Mg 0.500 0.244 0.415 x4

The following is a DFT calculation (GGA-PBE) of a geometry-optimized La2ZnCdAs2O2 structure.

Results
Total DFT energy (no corrections)   -45.96 eV/f.u.
M_tot   0.00 μB/atom

abc: 4.168 4.168 9.128
angles: 90.00 90.00 90.00
Space group P-4m2 (No. 115)
Unique sites:
La 0.000 0.500 0.129 x2
Zn 0.000 0.000 0.500 x1
Cd 0.500 0.500 0.500 x1
As 0.000 0.500 0.686 x2
O 0.000 0.000 0.000 x1
O 0.500 0.500 0.000 x1

The following is a DFT calculation (GGA-PBE) of a geometry-optimized ErUAs structure.

Results
Total DFT energy (no corrections)   -20.87 eV/f.u.
Energy above the lowest structure with this stoichiometry   0.000 eV per atom
M_tot   1.30 μB/atom

abc: 6.802 6.802 6.802
angles: 90.00 90.00 90.00
Space group F-43m (No. 216)
Unique sites:
Er 0.000 0.000 0.000 x4
U 0.000 0.000 0.500 x4
As 0.250 0.250 0.250 x4